Compound: CdCo3Ge
Source: the Alexandria database
Functional: PBE
Structure: relaxed

Results
Calculated formation energy = 0.680 eV/atom
Energy relative to the lowest polymorph listed for this composition = 0.00 eV/f.u.
Theoretical density = 7.30 g cm⁻³

Cell: 4.350 4.350 4.350 Å, 90.00 90.00 90.00°
Fractional coordinates of all 5 atoms:
Cd 0.000 0.000 0.000
Co 0.000 0.500 0.500
Co 0.500 0.000 0.500
Co 0.500 0.500 0.000
Ge 0.500 0.500 0.500

Compound: Cd3CoGe
Source: the Alexandria database
Functional: PBE
Structure: relaxed

Results
Calculated formation energy = 0.589 eV/atom
Energy relative to the lowest polymorph listed for this composition = 0.00 eV/f.u.
Theoretical density = 6.52 g cm⁻³

Cell: 4.925 4.925 4.925 Å, 90.00 90.00 90.00°
Fractional coordinates of all 5 atoms:
Cd 0.000 0.000 0.500
Cd 0.000 0.500 0.000
Cd 0.500 0.000 0.000
Co 0.000 0.000 0.000
Ge 0.500 0.500 0.500

Compound: Cd2Co2Ge
Source: the Alexandria database
Functional: PBE
Structure: relaxed

Results
Calculated formation energy = 0.057 eV/atom
Energy relative to the lowest polymorph listed for this composition = 0.00 eV/f.u.
Theoretical density = 8.73 g cm⁻³

Cell: 6.003 6.003 4.383 Å, 90.00 90.00 90.00°
Fractional coordinates of all 10 atoms:
Cd 0.168 0.332 0.000
Cd 0.332 0.832 0.000
Cd 0.668 0.168 0.000
Cd 0.832 0.668 0.000
Co 0.139 0.639 0.500
Co 0.361 0.139 0.500
Co 0.639 0.861 0.500
Co 0.861 0.361 0.500
Ge 0.000 0.000 0.500
Ge 0.500 0.500 0.500

Compound: CdCo3Ge
Source: the Alexandria database
Functional: PBE
Structure: relaxed

Results
Calculated formation energy = 1.672 eV/atom
Energy relative to the lowest polymorph listed for this composition = 4.96 eV/f.u.
Theoretical density = 5.90 g cm⁻³

Cell: 4.669 4.669 4.669 Å, 90.00 90.00 90.00°
Fractional coordinates of all 5 atoms:
Cd 0.000 0.000 0.000
Co 0.000 0.000 0.500
Co 0.000 0.500 0.000
Co 0.500 0.000 0.000
Ge 0.500 0.500 0.500

Compound: Cd3CoGe
Source: the Alexandria database
Functional: PBE
Structure: relaxed

Results
Calculated formation energy = 0.944 eV/atom
Energy relative to the lowest polymorph listed for this composition = 1.78 eV/f.u.
Theoretical density = 5.63 g cm⁻³

Cell: 5.170 5.170 5.170 Å, 90.00 90.00 90.00°
Fractional coordinates of all 5 atoms:
Cd 0.000 0.000 0.500
Cd 0.000 0.500 0.000
Cd 0.500 0.000 0.000
Co 0.500 0.500 0.500
Ge 0.000 0.000 0.000

Compound: Cd2CoGe
Source: the Alexandria database
Functional: PBE
Structure: relaxed

Results
Calculated formation energy = 0.207 eV/atom
Theoretical density = 5.45 g cm⁻³

Cell: 9.921 9.921 4.414 Å, 90.00 90.00 90.00°
Fractional coordinates of all 16 atoms:
Cd 0.000 0.000 0.000
Cd 0.000 0.500 0.000
Cd 0.250 0.250 0.750
Cd 0.250 0.750 0.250
Cd 0.500 0.000 0.500
Cd 0.500 0.500 0.500
Cd 0.750 0.250 0.750
Cd 0.750 0.750 0.250
Co 0.000 0.250 0.875
Co 0.000 0.750 0.125
Co 0.500 0.250 0.625
Co 0.500 0.750 0.375
Ge 0.000 0.250 0.375
Ge 0.000 0.750 0.625
Ge 0.500 0.250 0.125
Ge 0.500 0.750 0.875

Compound: Cd2Co2Ge
Source: the Alexandria database
Functional: PBE
Structure: relaxed

Results
Calculated formation energy = 0.369 eV/atom
Energy relative to the lowest polymorph listed for this composition = 1.56 eV/f.u.
Theoretical density = 7.59 g cm⁻³

Cell: 3.249 3.249 17.213 Å, 90.00 90.00 90.00°
Fractional coordinates of all 10 atoms:
Cd 0.000 0.000 0.118
Cd 0.000 0.000 0.882
Cd 0.500 0.500 0.382
Cd 0.500 0.500 0.618
Co 0.000 0.500 0.250
Co 0.000 0.500 0.750
Co 0.500 0.000 0.250
Co 0.500 0.000 0.750
Ge 0.000 0.000 0.500
Ge 0.500 0.500 0.000

Compound: Cd2Co2Ge
Source: the Alexandria database
Functional: PBE
Structure: relaxed

Results
Calculated formation energy = 0.461 eV/atom
Energy relative to the lowest polymorph listed for this composition = 2.02 eV/f.u.
Theoretical density = 7.86 g cm⁻³

Cell: 7.990 7.990 2.750 Å, 90.00 90.00 90.00°
Fractional coordinates of all 10 atoms:
Cd 0.188 0.312 0.000
Cd 0.312 0.812 0.000
Cd 0.688 0.188 0.000
Cd 0.812 0.688 0.000
Co 0.101 0.601 0.500
Co 0.399 0.101 0.500
Co 0.601 0.899 0.500
Co 0.899 0.399 0.500
Ge 0.000 0.000 0.000
Ge 0.500 0.500 0.000

Compound: Cd2CoGeH
Source: the Alexandria database
Functional: PBE
Structure: relaxed

Results
Theoretical density = 7.79 g cm⁻³

Cell: 4.954 4.954 3.106 Å, 90.00 90.00 90.00°
Fractional coordinates of all 5 atoms:
Cd 0.000 0.500 0.000
Cd 0.500 0.000 0.000
Co 0.000 0.000 0.500
Ge 0.500 0.500 0.500
H 0.000 0.000 0.000

Compound: CdCoHgGe2
Source: the Alexandria database
Functional: PBE
Structure: relaxed

Results
Calculated formation energy = 0.085 eV/atom
Theoretical density = 8.16 g cm⁻³

Cell: 4.504 4.504 5.187 Å, 90.00 90.00 90.00°
Fractional coordinates of all 5 atoms:
Cd 0.000 0.000 0.000
Co 0.000 0.000 0.500
Hg 0.500 0.500 0.000
Ge 0.000 0.500 0.500
Ge 0.500 0.000 0.500

Compound: Cd2CoGeI
Source: the Alexandria database
Functional: PBE
Structure: relaxed

Results
Formation energy without anion corrections = 0.866 eV per atom
Theoretical density = 5.10 g cm⁻³

Cell: 5.212 5.212 5.796 Å, 90.00 90.00 90.00°
Fractional coordinates of all 5 atoms:
Cd 0.000 0.500 0.000
Cd 0.500 0.000 0.000
Co 0.000 0.000 0.500
Ge 0.500 0.500 0.000
I 0.500 0.500 0.500

Compound: KCd2CoGe
Source: the Alexandria database
Functional: PBE
Structure: relaxed

Results
Calculated formation energy = -0.037 eV/atom
Theoretical density = 5.51 g cm⁻³

Cell: 5.142 5.142 4.508 Å, 90.00 90.00 90.00°
Fractional coordinates of all 5 atoms:
K 0.000 0.000 0.000
Cd 0.000 0.500 0.500
Cd 0.500 0.000 0.500
Co 0.500 0.500 0.500
Ge 0.500 0.500 0.000

Compound: KCdCoGe2
Source: the Alexandria database
Functional: PBE
Structure: relaxed

Results
Calculated formation energy = 0.044 eV/atom
Theoretical density = 5.35 g cm⁻³

Cell: 4.641 4.641 5.128 Å, 90.00 90.00 90.00°
Fractional coordinates of all 5 atoms:
K 0.000 0.000 0.000
Cd 0.500 0.500 0.000
Co 0.500 0.500 0.500
Ge 0.000 0.500 0.500
Ge 0.500 0.000 0.500

Compound: NaCd2CoGe
Source: the Alexandria database
Functional: PBE
Structure: relaxed

Results
Calculated formation energy = -0.006 eV/atom
Theoretical density = 5.56 g cm⁻³

Cell: 5.048 5.048 4.449 Å, 90.00 90.00 90.00°
Fractional coordinates of all 5 atoms:
Na 0.000 0.000 0.000
Cd 0.000 0.500 0.500
Cd 0.500 0.000 0.500
Co 0.500 0.500 0.500
Ge 0.500 0.500 0.000

Compound: Cd2CoNiGe
Source: the Alexandria database
Functional: PBE
Structure: relaxed

Results
Calculated formation energy = 0.610 eV/atom
Theoretical density = 6.57 g cm⁻³

Cell: 4.906 4.906 4.358 Å, 90.00 90.00 90.00°
Fractional coordinates of all 5 atoms:
Cd 0.000 0.500 0.000
Cd 0.500 0.000 0.000
Co 0.000 0.000 0.500
Ni 0.500 0.500 0.000
Ge 0.500 0.500 0.500

no.,electronic total energy (eV/f.u.)
1,-23.451
2,-11.525
3,-20.373
4,-18.492
5,-9.749
6,-12.727
7,-18.813
8,-18.355
9,-15.415
10,-17.132
11,-10.774
12,-14.834
13,-18.136
14,-14.901
15,-16.284